1.
CaEr5Ag6 | Alexandria via LeMat-Bulk | PBE-GGA | optimized geometry; total moment = 0.000 μB per atom; V = 23.6 A^3/atom; energy of formation = -0.3294 eV/atom
1.0
4.849 -0.029 1.616
0.039 7.206 0.013
-0.009 -0.014 8.109
Er Ag Ca
5 6 1
direct
0.665 0.500 0.670 Er
0.667 0.000 0.666 Er
0.333 0.000 0.334 Er
0.335 0.500 0.330 Er
0.000 0.500 0.000 Er
0.500 0.741 0.000 Ag
0.830 0.255 0.341 Ag
0.500 0.259 0.000 Ag
0.170 0.745 0.659 Ag
0.830 0.745 0.341 Ag
0.170 0.255 0.659 Ag
0.000 0.000 0.000 Ca

---

2.
Rb2UPa2Te6 | Alexandria via LeMat-Bulk | PBE-GGA | optimized geometry; total moment = 0.547 μB per atom; V = 40.6 A^3/atom; formation energy without anion corrections = -0.884 eV per atom
1.0
-3.699 1.605 -6.417
-3.003 -4.827 5.012
-1.895 7.910 4.567
Te Rb U Pa
6 2 1 2
direct
0.728 0.728 0.702 Te
0.272 0.272 0.298 Te
0.596 0.929 0.296 Te
0.929 0.596 0.296 Te
0.071 0.404 0.704 Te
0.404 0.071 0.704 Te
0.835 0.165 0.000 Rb
0.165 0.835 0.000 Rb
0.000 0.000 0.500 U
0.668 0.332 0.500 Pa
0.332 0.668 0.500 Pa

---

3.
DyTh2As2Se2 | Alexandria via LeMat-Bulk | PBE-GGA | optimized geometry; total moment = 0.128 μB per atom; V = 29.8 A^3/atom; formation energy without anion corrections = -1.080 eV per atom
1.0
5.316 0.000 0.000
0.000 5.316 0.000
-2.658 -2.658 7.384
Se Th Dy As
2 2 1 2
direct
0.192 0.192 0.385 Se
0.808 0.808 0.615 Se
0.617 0.617 0.233 Th
0.383 0.383 0.767 Th
0.000 0.000 0.000 Dy
0.000 0.500 0.000 As
0.500 0.000 0.000 As

---

4.
BaNiHgPb2 | Alexandria via LeMat-Bulk | PBE-GGA | optimized geometry; total moment = 0.000 μB per atom; energy above the lowest structure with this stoichiometry = 0.0 meV/atom; V = 29.0 A^3/atom; energy of formation = -0.1732 eV/atom
1.0
-0.315 4.486 2.743
0.255 -2.732 4.497
5.216 0.398 -0.053
Hg Ni Pb Ba
1 1 2 1
direct
0.000 0.000 0.500 Hg
0.000 0.000 0.000 Ni
0.000 0.500 0.000 Pb
0.500 0.000 0.000 Pb
0.500 0.500 0.500 Ba

---

5.
CaGeAu4 | Alexandria via LeMat-Bulk | PBE-GGA | optimized geometry; total moment = 0.000 μB per atom; energy above the lowest structure with this stoichiometry = 19.9 meV/atom; V = 20.6 A^3/atom; energy of formation = -0.3308 eV/atom
1.0
-5.250 0.184 1.467
1.546 -3.597 5.982
1.774 7.225 -0.386
Ge Au Ca
2 8 2
direct
0.244 0.460 0.919 Ge
0.756 0.540 0.081 Ge
0.277 0.670 0.339 Au
0.622 0.323 0.258 Au
0.000 0.808 0.000 Au
0.723 0.330 0.661 Au
0.378 0.065 0.742 Au
0.378 0.677 0.742 Au
0.622 0.935 0.258 Au
0.000 0.192 0.000 Au
0.161 0.209 0.419 Ca
0.839 0.791 0.581 Ca

---

6.
MgTiZn2 | Alexandria via LeMat-Bulk | PBE-GGA | optimized geometry; total moment = 0.000 μB per atom; V = 16.4 A^3/atom; energy of formation = -0.1411 eV/atom
1.0
-0.907 0.910 -3.163
-1.124 -4.140 -0.869
-4.068 0.811 1.399
Ti Zn Mg
1 2 1
direct
0.500 0.000 0.000 Ti
0.000 0.500 0.000 Zn
0.000 0.000 0.500 Zn
0.500 0.500 0.500 Mg

---

7.
MgPaCd2 | Alexandria via LeMat-Bulk | PBE-GGA | optimized geometry; total moment = 0.000 μB per atom; energy above the lowest structure with this stoichiometry = 0.0 meV/atom; V = 23.1 A^3/atom; energy of formation = -0.0142 eV/atom
1.0
3.149 0.000 0.000
1.574 2.727 0.000
1.574 0.909 10.759
Cd Pa Mg
2 1 1
direct
0.255 0.255 0.236 Cd
0.079 0.079 0.764 Cd
0.500 0.500 0.500 Pa
0.667 0.667 0.000 Mg

---

8.
PrNpCl | Alexandria via LeMat-Bulk | PBE-GGA | optimized geometry; total moment = 1.478 μB per atom; V = 28.4 A^3/atom; formation energy without anion corrections = -0.371 eV per atom
1.0
-3.127 -0.862 -1.008
5.414 -9.017 -3.363
0.123 -4.169 3.185
Pr Np Cl
2 2 2
direct
0.154 0.308 0.942 Pr
0.846 0.692 0.058 Pr
0.017 0.033 0.717 Np
0.983 0.967 0.283 Np
0.788 0.575 0.675 Cl
0.212 0.425 0.325 Cl

---

9.
Li4Ag3Bi2 | Alexandria via LeMat-Bulk | PBE-GGA | optimized geometry; total moment = 0.000 μB per atom; V = 19.4 A^3/atom; energy of formation = -0.2811 eV/atom
1.0
4.454 0.001 0.000
2.227 4.500 0.755
-0.002 0.929 8.878
Li Ag Bi
4 3 2
direct
0.347 0.305 0.122 Li
0.016 0.967 0.340 Li
0.984 0.033 0.660 Li
0.653 0.695 0.878 Li
0.340 0.320 0.451 Ag
0.000 0.000 0.000 Ag
0.660 0.680 0.549 Ag
0.684 0.631 0.219 Bi
0.316 0.369 0.781 Bi

---

10.
LaIrCl2 | Alexandria via LeMat-Bulk | PBE-GGA | optimized geometry; total moment = 0.000 μB per atom; energy above the lowest structure with this stoichiometry = 162.8 meV/atom; V = 26.3 A^3/atom; formation energy without anion corrections = -0.824 eV per atom
1.0
7.482 0.022 -0.043
6.583 3.555 -0.043
1.188 0.302 3.968
La Cl Ir
1 2 1
direct
0.175 0.175 0.324 La
0.772 0.772 0.726 Cl
0.023 0.023 0.978 Cl
0.530 0.530 0.471 Ir